{"formula": "RbGaSbH", "functional": "PBE", "state": "relaxed", "total_magnetization_mub_per_cell": 0.00, "energy_ev_per_atom": -3.192, "space_group": "P3m1, No. 156", "lattice": [[4.431, 0.000, 0.000], [-2.216, 3.838, 0.005], [0.000, -0.008, 6.394]], "species": ["Rb", "H", "Sb", "Ga"], "fractional_positions": [[0.572, 0.144, 0.344], [0.239, 0.477, 0.185], [0.905, 0.810, 0.783], [0.239, 0.477, 0.927]]}

{"formula": "Rb2GaSnH6", "functional": "PBE", "state": "relaxed", "total_magnetization_mub_per_cell": 0.00, "energy_ev_per_atom": -2.877, "space_group": "C2/m, No. 12", "lattice": [[-5.241, 2.743, 0.885], [-1.258, -3.837, 4.413], [-1.429, 2.062, 5.460]], "species": ["Rb", "H", "Ga", "H", "Rb", "Sn", "H", "H", "H", "H"], "fractional_positions": [[0.750, 0.250, 0.500], [0.720, 0.280, 0.000], [0.500, 0.500, 0.000], [0.280, 0.720, 0.000], [0.250, 0.750, 0.500], [0.000, 0.000, 0.000], [0.720, 0.720, 0.000], [0.280, 0.280, 0.000], [0.278, 0.278, 0.444], [0.722, 0.722, 0.556]]}

{"formula": "Rb2Ga2Sn2H", "functional": "PBE", "state": "relaxed", "total_magnetization_mub_per_cell": 0.00, "energy_ev_per_atom": -2.883, "space_group": "P-1, No. 2", "lattice": [[-2.665, -3.119, -2.466], [1.991, -6.859, 1.892], [-1.625, -4.227, 7.118]], "species": ["Ga", "Ga", "Sn", "Rb", "Sn", "H", "Rb"], "fractional_positions": [[0.171, 0.658, 0.256], [0.829, 0.342, 0.744], [0.800, 0.401, 0.379], [0.444, 0.112, 0.204], [0.200, 0.599, 0.621], [0.000, 0.000, 0.000], [0.556, 0.888, 0.796]]}

{"formula": "RbGaSnH", "functional": "PBE", "state": "relaxed", "total_magnetization_mub_per_cell": 0.99, "energy_ev_per_atom": -2.900, "space_group": "P3m1, No. 156", "lattice": [[-0.679, 1.321, -4.437], [-3.371, -2.284, 2.303], [-2.184, 5.088, 1.849]], "species": ["H", "Rb", "Ga", "Sn"], "fractional_positions": [[0.239, 0.477, 0.937], [0.905, 0.811, 0.773], [0.239, 0.477, 0.223], [0.572, 0.144, 0.306]]}

{"formula": "RbSrGaH2", "functional": "PBE", "state": "relaxed", "total_magnetization_mub_per_cell": 0.00, "energy_ev_per_atom": -1.973, "space_group": "P4/mmm, No. 123", "lattice": [[-2.403, -3.612, 2.479], [2.929, -4.120, -3.164], [3.629, -0.058, 3.434]], "species": ["H", "Sr", "Rb", "H", "Ga"], "fractional_positions": [[0.000, 0.000, 0.500], [0.500, 0.500, 0.500], [0.000, 0.000, 0.000], [0.500, 0.000, 0.000], [0.000, 0.500, 0.000]]}

{"formula": "Rb2GaHW", "functional": "PBE", "state": "relaxed", "total_magnetization_mub_per_cell": 3.24, "energy_ev_per_atom": -2.756, "space_group": "P4/mmm, No. 123", "lattice": [[7.070, 0.000, 0.000], [0.000, 3.281, 0.000], [0.000, 0.000, 7.070]], "species": ["Ga", "H", "Rb", "Rb", "W"], "fractional_positions": [[0.000, 0.000, 0.000], [0.000, 0.500, 0.000], [0.500, 0.000, 0.000], [0.000, 0.000, 0.500], [0.500, 0.500, 0.500]]}

{"formula": "Ga2ReH2", "functional": "PBE", "state": "relaxed", "total_magnetization_mub_per_cell": 0.06, "energy_ev_per_atom": -4.557, "space_group": "I4/mmm, No. 139", "lattice": [[2.846, 0.000, 0.000], [0.000, 2.846, 0.000], [1.423, 1.423, 6.644]], "species": ["Re", "H", "Ga", "H", "Ga"], "fractional_positions": [[0.000, 0.000, 0.000], [0.250, 0.750, 0.500], [0.638, 0.638, 0.724], [0.750, 0.250, 0.500], [0.362, 0.362, 0.276]]}

{"formula": "Ga3ReH", "functional": "PBE", "state": "relaxed", "total_magnetization_mub_per_cell": 1.06, "energy_ev_per_atom": -4.292, "space_group": "Pm-3m, No. 221", "lattice": [[4.864, 0.000, 0.000], [0.000, 4.864, 0.000], [0.000, 0.000, 4.864]], "species": ["H", "Ga", "Ga", "Ga", "Re"], "fractional_positions": [[0.500, 0.500, 0.500], [0.500, 0.000, 0.000], [0.000, 0.000, 0.500], [0.000, 0.500, 0.000], [0.000, 0.000, 0.000]]}